Entry 1:
# Ac2ThGe2N6

Crystalline Ac2ThGe2N6 at its relaxed geometry (PBE, Alexandria).

Structure (POSCAR):
```
Ac2ThGe2N6
1.0
3.007 1.736 6.214
-3.007 1.736 6.214
0.000 -3.472 6.214
Ac Th Ge N
2 1 2 6
direct
0.202 0.202 0.202 Ac
0.798 0.798 0.798 Ac
0.000 0.000 0.000 Th
0.422 0.422 0.422 Ge
0.578 0.578 0.578 Ge
0.233 0.746 0.746 N
0.254 0.254 0.767 N
0.254 0.767 0.254 N
0.746 0.233 0.746 N
0.746 0.746 0.233 N
0.767 0.254 0.254 N
```

Calculated values
V in A^3/atom: 17.696
Energy relative to the elements, uncorrected in eV per atom: -0.73
Theoretical density in g/cm3: 7.81
DFT total energy in eV per atom: -7.527

---

Entry 2:
# Ac2TiGe2N6

Crystalline Ac2TiGe2N6 at its relaxed geometry (PBE, Alexandria).

Structure (POSCAR):
```
Ac2TiGe2N6
1.0
2.913 1.682 5.537
-2.913 1.682 5.537
0.000 -3.363 5.537
Ac Ti Ge N
2 1 2 6
direct
0.212 0.212 0.212 Ac
0.788 0.788 0.788 Ac
0.000 0.000 0.000 Ti
0.413 0.413 0.413 Ge
0.587 0.587 0.587 Ge
0.232 0.761 0.761 N
0.239 0.239 0.768 N
0.239 0.768 0.239 N
0.761 0.232 0.761 N
0.761 0.761 0.232 N
0.768 0.239 0.239 N
```

Calculated values
V in A^3/atom: 14.791
Energy relative to the elements, uncorrected in eV per atom: -0.61
Theoretical density in g/cm3: 7.46
DFT total energy in eV per atom: -7.453

---

Entry 3:
# Ac4TlGeN

Crystalline Ac4TlGeN at its relaxed geometry (PBE, Alexandria).

Structure (POSCAR):
```
Ac4TlGeN
1.0
3.613 -8.822 0.000
3.613 8.822 0.000
0.000 0.000 7.263
Ac Tl Ge N
8 2 2 2
direct
0.000 0.500 0.000 Ac
0.000 0.500 0.500 Ac
0.063 0.937 0.750 Ac
0.418 0.582 0.750 Ac
0.500 0.000 0.000 Ac
0.500 0.000 0.500 Ac
0.582 0.418 0.250 Ac
0.937 0.063 0.250 Ac
0.389 0.611 0.250 Tl
0.611 0.389 0.750 Tl
0.117 0.883 0.250 Ge
0.883 0.117 0.750 Ge
0.276 0.724 0.750 N
0.724 0.276 0.250 N
```

Calculated values
V in A^3/atom: 33.066
Energy relative to the elements, uncorrected in eV per atom: -0.62
Theoretical density in g/cm3: 8.60
DFT total energy in eV per atom: -5.158